No. 1
Entry from Alexandria via LeMat-Bulk: a relaxed structure of NiRuAu3 (GGA-PBE).

Cell and atoms, written as CIF:
```
data_NiRuAu3
_space_group_name_H-M_alt 'P 1'
_space_group_IT_number 1
_cell_length_a 4.6936
_cell_length_b 4.6936
_cell_length_c 4.6936
_cell_angle_alpha 90.00
_cell_angle_beta 90.00
_cell_angle_gamma 90.00
loop_
_space_group_symop_operation_xyz
'x,y,z'
loop_
_atom_site_label
_atom_site_type_symbol
_atom_site_fract_x
_atom_site_fract_y
_atom_site_fract_z
_atom_site_occupancy
Ni1 Ni 0.0000 0.0000 0.0000 1
Au1 Au 0.5000 0.0000 0.0000 1
Au2 Au 0.0000 0.5000 0.0000 1
Au3 Au 0.0000 0.0000 0.5000 1
Ru1 Ru 0.5000 0.5000 0.5000 1
```

Computed properties:
**Calculated volume**: 103.4 Å³/cell
**Energy of formation from the pure elements**: 1.20 eV per atom
**Final energy**: -3.773 eV per atom


No. 2
Entry from Alexandria via LeMat-Bulk: a relaxed structure of LiCoIr (GGA-PBE).

Cell and atoms, written as CIF:
```
data_LiCoIr
_space_group_name_H-M_alt 'P 1'
_space_group_IT_number 1
_cell_length_a 2.6552
_cell_length_b 2.6551
_cell_length_c 12.9578
_cell_angle_alpha 90.00
_cell_angle_beta 90.00
_cell_angle_gamma 120.00
loop_
_space_group_symop_operation_xyz
'x,y,z'
loop_
_atom_site_label
_atom_site_type_symbol
_atom_site_fract_x
_atom_site_fract_y
_atom_site_fract_z
_atom_site_occupancy
Co1 Co 0.2785 0.5569 0.1591 1
Co2 Co 0.2785 0.5569 0.8409 1
Li1 Li 0.6106 0.2213 0.3317 1
Li2 Li 0.6106 0.2213 0.6683 1
Ir1 Ir 0.6119 0.2238 0.0000 1
Ir2 Ir 0.2765 0.5530 0.5000 1
```

Computed properties:
**Calculated volume**: 79.1 Å³/cell
**Energy of formation from the pure elements**: 0.03 eV per atom
**Final energy**: -5.927 eV per atom


No. 3
Entry from Alexandria via LeMat-Bulk: a relaxed structure of LiAg2Os (GGA-PBE).

Cell and atoms, written as CIF:
```
data_LiAg2Os
_space_group_name_H-M_alt 'P 1'
_space_group_IT_number 1
_cell_length_a 5.5473
_cell_length_b 5.5473
_cell_length_c 5.5473
_cell_angle_alpha 151.99
_cell_angle_beta 128.08
_cell_angle_gamma 60.02
loop_
_space_group_symop_operation_xyz
'x,y,z'
loop_
_atom_site_label
_atom_site_type_symbol
_atom_site_fract_x
_atom_site_fract_y
_atom_site_fract_z
_atom_site_occupancy
Os1 Os 0.2500 0.7500 0.5000 1
Ag1 Ag 0.5104 0.5104 0.0000 1
Ag2 Ag 0.9896 0.9896 0.0000 1
Li1 Li 0.7500 0.2500 0.5000 1
```

Computed properties:
**Calculated volume**: 62.6 Å³/cell
**Energy of formation from the pure elements**: 0.51 eV per atom
**Final energy**: -4.204 eV per atom


No. 4
Entry from Alexandria via LeMat-Bulk: a relaxed structure of LuGaPb2 (GGA-PBE).

Cell and atoms, written as CIF:
```
data_LuGaPb2
_space_group_name_H-M_alt 'P 1'
_space_group_IT_number 1
_cell_length_a 3.5239
_cell_length_b 3.5239
_cell_length_c 11.0337
_cell_angle_alpha 80.81
_cell_angle_beta 80.81
_cell_angle_gamma 60.00
loop_
_space_group_symop_operation_xyz
'x,y,z'
loop_
_atom_site_label
_atom_site_type_symbol
_atom_site_fract_x
_atom_site_fract_y
_atom_site_fract_z
_atom_site_occupancy
Lu1 Lu 0.0000 0.0000 0.0000 1
Pb1 Pb 0.0954 0.0954 0.7138 1
Pb2 Pb 0.9046 0.9046 0.2862 1
Ga1 Ga 0.5000 0.5000 0.5000 1
```

Computed properties:
**Calculated volume**: 116.6 Å³/cell
**Energy of formation from the pure elements**: 0.16 eV per atom
**Final energy**: -3.585 eV per atom


Results for relative energy among the computed polymorphs: 0; 0; 229; 371 (in meV per atom, following the order of the records).